[1]
# ScBeAl2

ScBeAl2 after structural relaxation (PBE, the Alexandria database).

a = 3.2822 Å, b = 3.0128 Å, c = 6.4948 Å
α = 90.00°, β = 90.00°, γ = 90.00°
Element x y z (fractional)
1 Be 0.0000 0.0000 0.4523
2 Sc 0.5000 0.5000 0.7323
3 Al 0.5000 0.5000 0.2819
4 Al 0.0000 0.0000 0.0334

Results
calculated formation energy = -78.4 meV/atom
magnetization = 0.387 μB/f.u.
Fermi-level density of states = 2.29 states/eV per cell
V = 16.1 Å³ per atom
DFT total energy = -17.9 eV for the cell shown
space-group type = Pmm2, No. 25

---

[2]
# Pr3NdEr2S6

Pr3NdEr2S6 after structural relaxation (PBE, the Alexandria database).

a = 6.9291 Å, b = 6.9291 Å, c = 7.0333 Å
α = 99.45°, β = 99.45°, γ = 120.13°
Element x y z (fractional)
1 Pr 0.5000 0.5000 0.5000
2 Pr 0.1614 0.8386 0.5000
3 Pr 0.8386 0.1614 0.5000
4 S 0.4232 0.0781 0.2348
5 S 0.9219 0.5768 0.7652
6 S 0.2682 0.2682 0.7696
7 S 0.0781 0.4232 0.2348
8 S 0.5768 0.9219 0.7652
9 S 0.7318 0.7318 0.2304
10 Er 0.3337 0.6663 0.0000
11 Er 0.6663 0.3337 0.0000
12 Nd 0.0000 0.0000 0.0000

Results
magnetization = 0.000 μB/f.u.
Fermi-level density of states = 5.13 states/eV per cell
V = 23.0 Å³ per atom
raw formation energy = -2.00 eV/atom
DFT total energy = -77.1 eV for the cell shown
space-group type = C2/m, No. 12